(1)
This record from Alexandria via LeMat-Bulk describes a crystal of Mg16Al13 relaxed with PBEsol. The functional is SCAN.

abc: 10.443 10.443 10.443
angles: 90.00 90.00 90.00
Space group I-43m (No. 217)
Asymmetric unit:
Mg 0.043 0.357 0.643 [24 per cell]
Mg 0.169 0.169 0.169 [8 per cell]
Al 0.000 0.000 0.000 [2 per cell]
Al 0.091 0.091 0.724 [24 per cell]

Values from the calculation:
Energy above the most stable polymorph in this dataset ... 0.009 eV per atom
E ... -6.2269 eV/atom
ΔH_f (0 K) ... -0.008 eV/atom

(2)
This record from Alexandria via LeMat-Bulk describes a crystal of AgAu3 relaxed with PBEsol. The functional is SCAN.

abc: 5.050 5.050 5.050
angles: 90.00 90.00 90.00
Space group Pm-3m (No. 221)
Asymmetric unit:
Ag 0.000 0.000 0.000 [1 per cell]
Au 0.000 0.000 0.500 [3 per cell]

Values from the calculation:
Energy above the most stable polymorph in this dataset ... 1.217 eV per atom
E ... -58.5595 eV/atom
ΔH_f (0 K) ... 1.150 eV/atom

(3)
This record from Alexandria via LeMat-Bulk describes a crystal of SiTe2 relaxed with PBEsol. The functional is SCAN.

abc: 3.661 3.661 22.760
angles: 90.00 90.00 90.00
Space group I4_1/amd (No. 141, origin choice 2)
Asymmetric unit:
Si 0.000 0.250 0.375 [4 per cell]
Te 0.000 0.250 0.806 [8 per cell]

Values from the calculation:
Formation energy without anion corrections ... 1.5 eV per formula unit
E ... -27.6671 eV/atom

(4)
This record from Alexandria via LeMat-Bulk describes a crystal of Al2SbIr relaxed with PBEsol. The functional is SCAN.

abc: 2.971 2.971 7.852
angles: 90.00 90.00 90.00
Space group P4/mmm (No. 123)
Asymmetric unit:
Al 0.000 0.000 0.196 [2 per cell]
Sb 0.500 0.500 0.500 [1 per cell]
Ir 0.500 0.500 0.000 [1 per cell]

Values from the calculation:
Formation energy without anion corrections ... -1.7 eV per formula unit
E ... -31.3960 eV/atom

(5)
This record from Alexandria via LeMat-Bulk describes a crystal of ReIrOs2 relaxed with PBEsol. The functional is SCAN.

abc: 9.000 2.708 4.713
angles: 90.00 100.01 90.00
Space group C2/m (No. 12)
Asymmetric unit:
Re 0.000 0.000 0.000 [2 per cell]
Ir 0.000 0.500 0.500 [2 per cell]
Os 0.248 0.500 0.247 [4 per cell]

Values from the calculation:
E ... -71.4779 eV/atom
ΔH_f (0 K) ... 0.011 eV/atom

(6)
This record from Alexandria via LeMat-Bulk describes a crystal of LiBe2Cr relaxed with PBEsol. The functional is SCAN.

abc: 2.239 4.165 8.462
angles: 90.00 90.00 90.00
Space group Imm2 (No. 44)
Asymmetric unit:
Li 0.000 0.000 0.000 [2 per cell]
Be 0.000 0.000 0.460 [2 per cell]
Be 0.000 0.500 0.744 [2 per cell]
Cr 0.000 0.500 0.209 [2 per cell]

Values from the calculation:
Energy above the most stable polymorph in this dataset ... 0.074 eV per atom
E ... -7.0925 eV/atom
ΔH_f (0 K) ... 0.278 eV/atom

(7)
This record from Alexandria via LeMat-Bulk describes a crystal of Na5Te2H36AuO28 relaxed with PBEsol. The functional is SCAN.

abc: 5.869 8.827 12.521
angles: 98.80 98.28 93.46
Space group P-1 (No. 2)
Asymmetric unit:
Na 0.000 0.000 0.000 [1 per cell]
Na 0.330 0.222 0.182 [2 per cell]
Na 0.354 0.328 0.455 [2 per cell]
Te 0.179 0.251 0.698 [2 per cell]
H 0.013 0.678 0.016 [2 per cell]
H 0.101 0.932 0.763 [2 per cell]
H 0.117 0.479 0.291 [2 per cell]
H 0.149 0.704 0.191 [2 per cell]
H 0.156 0.642 0.511 [2 per cell]
H 0.168 0.807 0.841 [2 per cell]
H 0.208 0.543 0.609 [2 per cell]
H 0.219 0.275 0.942 [2 per cell]
H 0.245 0.917 0.162 [2 per cell]
H 0.248 0.488 0.067 [2 per cell]
H 0.265 0.579 0.815 [2 per cell]
H 0.298 0.004 0.330 [2 per cell]
H 0.316 0.648 0.944 [2 per cell]
H 0.386 0.528 0.319 [2 per cell]
H 0.394 0.761 0.325 [2 per cell]
H 0.428 0.647 0.115 [2 per cell]
H 0.435 0.949 0.646 [2 per cell]
H 0.480 0.901 0.122 [2 per cell]
Au 0.000 0.000 0.500 [1 per cell]
O 0.020 0.227 0.545 [2 per cell]
O 0.057 0.887 0.826 [2 per cell]
O 0.130 0.790 0.251 [2 per cell]
O 0.141 0.462 0.715 [2 per cell]
O 0.145 0.296 0.011 [2 per cell]
O 0.168 0.023 0.653 [2 per cell]
O 0.264 0.604 0.078 [2 per cell]
O 0.268 0.576 0.545 [2 per cell]
O 0.273 0.437 0.296 [2 per cell]
O 0.335 0.673 0.871 [2 per cell]
O 0.337 0.956 0.109 [2 per cell]
O 0.344 0.243 0.838 [2 per cell]
O 0.411 0.094 0.350 [2 per cell]
O 0.468 0.283 0.637 [2 per cell]

Values from the calculation:
E ... -7.5992 eV/atom

(8)
This record from Alexandria via LeMat-Bulk describes a crystal of Mg5Tl relaxed with PBEsol. The functional is SCAN.

abc: 5.8483 5.8483 5.1494
angles: 90.00 90.00 120.00
Space group P6/mmm (No. 191)
Asymmetric unit:
Mg 0.0000 0.5000 0.0000 [3 per cell]
Mg 0.3333 0.6667 0.5000 [2 per cell]
Tl 0.0000 0.0000 0.5000 [1 per cell]

Values from the calculation:
Energy above the most stable polymorph in this dataset ... 0.214 eV per atom
E ... -16.0654 eV/atom
ΔH_f (0 K) ... 0.139 eV/atom